(1)
# Cs2ZnIn

An optimized crystal structure of Cs2ZnIn (PBE, Alexandria).

Values from the calculation:
The value obtained for the total moment is 0.00 μB per cell. The formation energy from the elements is 0.09 eV/atom.

Cell and atoms, written as POSCAR:
```
Cs2ZnIn
1.0
-7.163 7.163 2.532
7.163 -7.163 2.532
7.163 7.163 -2.532
Cs Zn In
4 2 2
direct
0.692 0.375 0.817
0.558 0.875 0.183
0.125 0.308 0.683
0.625 0.442 0.317
0.500 0.500 0.000
0.750 0.250 0.500
0.000 0.000 0.000
0.250 0.750 0.500
```

(2)
# LaErBiSb

An optimized crystal structure of LaErBiSb (PBE, Alexandria).

Values from the calculation:
The value obtained for the total moment is 0.00 μB per cell. The value obtained for the formation energy without anion corrections is -101.77 kJ/mol of atoms.

Cell and atoms, written as POSCAR:
```
LaErBiSb
1.0
-1.929 -1.703 3.743
0.394 -4.425 0.946
5.660 -0.680 5.363
La Er Bi Sb
1 1 1 1
direct
0.696 0.696 0.912
0.192 0.192 0.423
0.939 0.939 0.183
0.449 0.449 0.652
```

(3)
# Rb3Tl6BiSb2

An optimized crystal structure of Rb3Tl6BiSb2 (PBE, Alexandria).

Values from the calculation:
The value obtained for the total moment is 0.00 μB per cell. The value obtained for the formation energy without anion corrections is -8.67 kJ/mol of atoms.

Cell and atoms, written as POSCAR:
```
Rb3Tl6BiSb2
1.0
-1.916 4.470 4.346
-2.946 -0.375 -5.807
-8.714 -8.570 4.975
Rb Tl Bi Sb
3 6 1 2
direct
0.333 0.667 0.544
0.667 0.333 0.456
0.000 0.000 0.000
0.666 0.833 0.270
0.167 0.334 0.270
0.167 0.833 0.270
0.833 0.666 0.730
0.334 0.167 0.730
0.833 0.167 0.730
0.000 0.000 0.500
0.667 0.333 0.181
0.333 0.667 0.819
```

(4)
# Hg2Ge2Au3

An optimized crystal structure of Hg2Ge2Au3 (PBE, Alexandria).

Values from the calculation:
The value obtained for the total moment is 0.00 μB per cell. The formation energy from the elements is 0.05 eV/atom.

Cell and atoms, written as POSCAR:
```
Hg2Ge2Au3
1.0
3.214 0.030 -0.022
-1.717 7.251 0.080
0.072 -0.027 6.456
Hg Ge Au
2 2 3
direct
0.915 0.822 0.584
0.085 0.178 0.416
0.651 0.300 0.965
0.349 0.700 0.035
0.000 0.000 0.000
0.757 0.515 0.300
0.243 0.485 0.700
```

(5)
# La7RuCl12

An optimized crystal structure of La7RuCl12 (PBE, Alexandria).

Values from the calculation:
The value obtained for the total moment is 1.08 μB per cell. The value obtained for the formation energy without anion corrections is -191.12 kJ/mol of atoms.

Cell and atoms, written as POSCAR:
```
La7RuCl12
1.0
-10.619 -1.600 1.107
2.480 1.622 -8.959
5.076 -7.422 2.863
La Ru Cl
7 1 12
direct
0.114 0.800 0.103
0.989 0.103 0.303
0.685 0.697 0.800
0.500 0.000 0.000
0.315 0.303 0.200
0.011 0.897 0.697
0.886 0.200 0.897
0.000 0.000 0.000
0.203 0.525 0.125
0.922 0.125 0.600
0.634 0.809 0.090
0.456 0.090 0.281
0.322 0.400 0.525
0.175 0.719 0.809
0.825 0.281 0.191
0.678 0.600 0.475
0.544 0.910 0.719
0.366 0.191 0.910
0.078 0.875 0.400
0.797 0.475 0.875
```

(6)
# TbPaTcC3

An optimized crystal structure of TbPaTcC3 (PBE, Alexandria).

Values from the calculation:
The value obtained for the total moment is 0.00 μB per cell. The formation energy from the elements is -0.06 eV/atom.

Cell and atoms, written as POSCAR:
```
TbPaTcC3
1.0
-0.207 2.624 2.468
-5.496 -3.505 3.266
5.285 -3.601 4.272
Tb Pa Tc C
2 2 2 6
direct
0.250 0.149 0.163
0.750 0.851 0.837
0.250 0.623 0.172
0.750 0.377 0.828
0.250 0.100 0.592
0.750 0.900 0.408
0.750 0.869 0.154
0.250 0.131 0.846
0.250 0.831 0.494
0.750 0.169 0.506
0.750 0.405 0.127
0.250 0.595 0.873
```